Record 1
The following is a DFT calculation (PBE-GGA) of a relaxed Zn2FeMo crystal.

Cell lengths 4.902, 4.902, 2.573 Å; angles 90.00, 90.00, 114.05 degrees
Sites, in units of the cell vectors:
Zn (0.000, 0.500, 0.000)
Zn (0.500, 0.000, 0.000)
Fe (0.000, 0.000, 0.500)
Mo (0.500, 0.500, 0.500)

Computed properties:
Total magnetization   0.6950 μB per atom
DFT formation energy   0.121 eV/atom
Calculated total energy   -21.36 eV for the cell shown

***

Record 2
The following is a DFT calculation (PBE-GGA) of a relaxed Al2AgN2 crystal.

Cell lengths 6.214, 6.214, 2.845 Å; angles 90.00, 90.00, 90.00 degrees
Sites, in units of the cell vectors:
Al (0.147, 0.353, 0.000)
Al (0.353, 0.853, 0.000)
Al (0.647, 0.147, 0.000)
Al (0.853, 0.647, 0.000)
Ag (0.000, 0.000, 0.500)
Ag (0.500, 0.500, 0.500)
N (0.145, 0.645, 0.500)
N (0.355, 0.145, 0.500)
N (0.645, 0.855, 0.500)
N (0.855, 0.355, 0.500)

Computed properties:
Total magnetization   0.0000 μB per atom
Formation energy without anion corrections   0.3902 eV per atom
Calculated total energy   -50.07 eV for the cell shown